[1]
NaAlN | Alexandria via LeMat-Bulk | GGA-PBE | relaxed; ΔE_f (raw) = -1.516 eV per formula unit; total magnetization = 0.00 μB/f.u.; density of states at the Fermi level = 0.141 states/eV per atom; uncorrected energy = -4.968 eV/atom; space-group type = Cmc2_1; offset from the most stable computed form = 0 meV/atom
1.0
3.1562 -0.3049 0.0000
-1.3189 2.8836 0.0000
0.0000 0.0000 14.0299
Al N Na
2 2 2
Cartesian
1.7611 0.6891 8.1308
0.0762 1.8896 1.1158
0.2707 1.7510 8.1333
1.5666 0.8277 1.1183
3.1424 -0.2951 11.6274
-1.3051 2.8737 4.6125

***

[2]
Ac2ZnGaAu6 | Alexandria via LeMat-Bulk | GGA-PBE | relaxed; energy of formation from the pure elements = -0.49 eV per atom; total magnetization = 0.00 μB/f.u.; density of states at the Fermi level = 0.490 states/eV per atom; uncorrected energy = -3.703 eV/atom; space-group type = C2/m
1.0
6.9672 -0.2476 0.0042
-0.2468 6.9694 0.0015
3.3961 3.3948 5.0775
Ac Zn Ga Au
2 1 1 6
Cartesian
2.9986 7.1214 2.5402
7.1179 2.9952 2.5431
3.3602 3.3609 0.0029
0.0000 0.0000 0.0000
1.5570 5.1632 0.0036
5.0390 5.0381 0.9225
3.3710 3.3736 2.5427
8.5595 4.9534 5.0797
5.0775 5.0786 4.1607
6.7455 6.7430 2.5405

***

[3]
BeCrCl3 | Alexandria via LeMat-Bulk | GGA-PBE | relaxed; ΔE_f (raw) = -0.533 eV per formula unit; total magnetization = 3.00 μB/f.u.; density of states at the Fermi level = 0.391 states/eV per atom; uncorrected energy = -3.885 eV/atom; space-group type = Pm-3m; offset from the most stable computed form = 284 meV/atom
1.0
-1.7114 2.5059 3.7555
-4.3733 0.0772 -2.0445
-1.1211 -4.1263 2.2424
Cr Be Cl
1 1 3
Cartesian
0.0000 0.0000 0.0000
-3.6029 -0.7716 1.9767
-2.1867 0.0386 -1.0222
-0.5606 -2.0632 1.1212
-0.8557 1.2529 1.8777

***

[4]
PrScAlCd | Alexandria via LeMat-Bulk | GGA-PBE | relaxed; energy of formation from the pure elements = -0.31 eV per atom; total magnetization = 0.00 μB/f.u.; density of states at the Fermi level = 0.897 states/eV per atom; uncorrected energy = -4.253 eV/atom; space-group type = F-43m
1.0
5.1729 0.0000 0.0000
2.5865 4.4799 0.0000
2.5865 1.4933 4.2237
Pr Sc Al Cd
1 1 1 1
Cartesian
5.1729 2.9866 2.1118
0.0000 0.0000 0.0000
2.5865 1.4933 1.0559
7.7594 4.4799 3.1677

***

[5]
MnAl6Co | Alexandria via LeMat-Bulk | GGA-PBE | relaxed; energy of formation from the pure elements = -0.06 eV per atom; total magnetization = 3.01 μB/f.u.; density of states at the Fermi level = 0.407 states/eV per atom; uncorrected energy = -4.903 eV/atom; space-group type = R-3m
1.0
-2.4368 3.9943 -2.4475
-4.2332 -1.7116 -4.5148
-5.1570 -0.9435 0.6266
Mn Al Co
1 6 1
Cartesian
0.0000 0.0000 0.0000
-7.5757 1.4480 -4.5829
-5.1461 2.3128 -2.6224
-6.6809 -0.9736 -3.7132
-4.2513 -0.1087 -1.7527
-4.9298 1.3365 -5.1564
-1.7403 0.9463 -1.8059
-3.3350 1.1414 -3.4811

***

[6]
YS3Cl | Alexandria via LeMat-Bulk | GGA-PBE | relaxed; ΔE_f (raw) = -0.499 eV per formula unit; total magnetization = 0.00 μB/f.u.; density of states at the Fermi level = 0.175 states/eV per atom; uncorrected energy = -4.238 eV/atom; space-group type = Pm-3m; offset from the most stable computed form = 3 meV/atom
1.0
-4.4892 0.1063 -1.2582
0.0433 -4.6311 -0.5458
-1.2619 -0.5371 4.4572
Y S Cl
1 3 1
Cartesian
-2.8539 -2.5310 1.3266
0.0217 -2.3156 -0.2729
-0.6310 -0.2685 2.2286
-2.2446 0.0531 -0.6291
0.0000 0.0000 0.0000

***

[7]
TcBi2F | Alexandria via LeMat-Bulk | GGA-PBE | relaxed; ΔE_f (raw) = -0.570 eV per formula unit; total magnetization = 1.66 μB/f.u.; density of states at the Fermi level = 0.612 states/eV per atom; uncorrected energy = -5.142 eV/atom; space-group type = Fm-3m; offset from the most stable computed form = 0 meV/atom
1.0
0.0000 3.4231 3.4231
3.4231 0.0000 3.4231
3.4231 3.4231 0.0000
F Bi Tc
1 2 1
Cartesian
0.0000 0.0000 0.0000
1.7116 1.7116 1.7116
5.1347 5.1347 5.1347
3.4231 3.4231 3.4231

***

[8]
BaNbNO2 | Alexandria via LeMat-Bulk | GGA-PBE | relaxed; ΔE_f (raw) = -10.526 eV per formula unit; total magnetization = 0.00 μB/f.u.; density of states at the Fermi level = 0.090 states/eV per atom; uncorrected energy = -8.152 eV/atom; space-group type = P4/mmm
1.0
-3.6713 -0.2608 1.9609
-1.1455 -3.0901 -2.5556
1.6028 -2.7711 2.6323
Nb Ba O N
1 1 2 1
Cartesian
0.0000 0.0000 0.0000
-1.6070 -3.0610 1.0188
-0.5727 -1.5450 -1.2778
-1.8356 -0.1304 0.9805
0.8014 -1.3856 1.3161

***

[9]
LiTbCu2Si2 | Alexandria via LeMat-Bulk | GGA-PBE | relaxed; ΔE_f (raw) = -2.844 eV per formula unit; total magnetization = 0.00 μB/f.u.; density of states at the Fermi level = 0.481 states/eV per atom; uncorrected energy = -4.738 eV/atom; space-group type = P-3m1
1.0
-2.6518 -1.9365 2.4182
0.8791 -1.5109 -3.6843
4.9178 -3.4845 2.6025
Li Tb Cu Si
1 1 2 2
Cartesian
2.4589 -1.7422 1.3012
0.0000 0.0000 0.0000
2.9994 -3.9890 0.0947
0.1458 -2.9429 1.2417
1.1028 -2.6452 -0.9089
2.0424 -4.2867 2.2454

***

[10]
In2ICl | Alexandria via LeMat-Bulk | GGA-PBE | relaxed; ΔE_f (raw) = -1.919 eV per formula unit; total magnetization = 0.00 μB/f.u.; uncorrected energy = -2.698 eV/atom; space-group type = R-3m; offset from the most stable computed form = 138 meV/atom
1.0
5.4666 0.0000 0.0000
2.7333 4.7342 0.0000
2.7333 1.5781 7.2243
I Cl In
1 1 2
Cartesian
0.0000 0.0000 0.0000
5.4666 3.1562 3.6122
2.7333 1.5781 4.2395
8.1999 4.7342 2.9848

***

[11]
Sm2Y3PuAs6 | Alexandria via LeMat-Bulk | GGA-PBE | relaxed; energy of formation from the pure elements = -1.45 eV per atom; total magnetization = 4.86 μB/f.u.; density of states at the Fermi level = 1.274 states/eV per atom; uncorrected energy = -7.371 eV/atom; space-group type = C2/m
1.0
4.1611 0.0000 0.0000
0.0000 8.3049 0.3027
-2.0805 -2.3873 8.7279
Sm Y Pu As
2 3 1 6
Cartesian
2.0806 3.9361 6.0160
0.0000 1.9815 3.0147
2.0805 4.1525 0.1514
2.0805 -0.2016 5.8536
0.0000 6.1192 3.1770
2.0805 0.0000 0.0000
0.0000 6.0505 6.1104
2.0805 4.0824 3.0665
2.0805 -0.1329 2.9202
2.0805 -0.3295 8.7783
0.0000 6.2471 0.2523
0.0000 1.8352 5.9641

***

[12]
Sc2InMoW | Alexandria via LeMat-Bulk | GGA-PBE | relaxed; energy of formation from the pure elements = 1.88 eV per atom; total magnetization = 0.85 μB/f.u.; density of states at the Fermi level = 1.796 states/eV per atom; uncorrected energy = -5.955 eV/atom; space-group type = P4/mmm
1.0
5.0271 0.0000 0.0000
0.0000 4.9247 0.0000
0.0000 0.0000 5.0271
Sc Mo W In
2 1 1 1
Cartesian
0.0000 0.0000 2.5135
2.5135 0.0000 0.0000
0.0000 2.4624 0.0000
2.5135 2.4624 2.5135
0.0000 0.0000 0.0000